(1)
! K4RbNa (PBE, optimized geometry); values from VASP
&SYSTEM
  ibrav = 0, nat = 12, ntyp = 3
/
ATOMIC_SPECIES
K 39.10 K.upf
Rb 85.47 Rb.upf
Na 22.99 Na.upf
CELL_PARAMETERS angstrom
11.1064 -5.2461 0.0000
11.1064 5.2461 0.0000
-2.5727 0.0000 7.2603
ATOMIC_POSITIONS crystal
K 0.1031 0.6603 0.3830
K 0.1921 0.8079 0.0000
K 0.3290 0.3290 0.8289
K 0.3397 0.8969 0.6170
K 0.6603 0.1031 0.3830
K 0.6710 0.6710 0.1711
K 0.8079 0.1921 0.0000
K 0.8969 0.3397 0.6170
Rb 0.2063 0.2063 0.2062
Rb 0.7937 0.7937 0.7938
Na 0.4993 0.4993 0.2734
Na 0.5007 0.5007 0.7266
! ΔE_f = 0.145 eV per formula unit
! magnetization = 0.00 μB per cell
! energy relative to the lowest polymorph listed for this composition = 14 meV per atom



(2)
! Fe2SiCl (PBE, optimized geometry); values from VASP
&SYSTEM
  ibrav = 0, nat = 4, ntyp = 3
/
ATOMIC_SPECIES
Fe 55.84 Fe.upf
Si 28.09 Si.upf
Cl 35.45 Cl.upf
CELL_PARAMETERS angstrom
0.0000 3.0745 3.0745
3.0745 0.0000 3.0745
3.0745 3.0745 0.0000
ATOMIC_POSITIONS crystal
Fe 0.0000 0.0000 0.0000
Fe 0.2500 0.2500 0.2500
Si 0.5000 0.5000 0.5000
Cl 0.7500 0.7500 0.7500
! E_form (uncorrected) = 0.771 eV per atom
! magnetization = 5.13 μB per cell
! energy relative to the lowest polymorph listed for this composition = 854 meV per atom



(3)
! LiLuSb (PBE, optimized geometry); values from VASP
&SYSTEM
  ibrav = 0, nat = 3, ntyp = 3
/
ATOMIC_SPECIES
Li 6.94 Li.upf
Lu 174.97 Lu.upf
Sb 121.76 Sb.upf
CELL_PARAMETERS angstrom
0.0000 3.4148 3.4148
3.4148 0.0000 3.4148
3.4148 3.4148 0.0000
ATOMIC_POSITIONS crystal
Li 0.0000 0.0000 0.0000
Lu 0.5000 0.5000 0.5000
Sb 0.7500 0.7500 0.7500
! E_form (uncorrected) = -0.543 eV per atom
! magnetization = 0.00 μB per cell
! energy relative to the lowest polymorph listed for this composition = 0 meV per atom



| no. | theoretical density (Mg/m³) |
| --- | --- |
| 1 | 1.04 |
| 2 | 5.01 |
| 3 | 6.33 |